Record 1
# AlCoSe2

AlCoSe2 after structural relaxation (PBE-GGA, the Alexandria database).

The calculation puts the uncorrected formation energy at -37.4 kJ/mol of atoms. The calculation puts the total energy at -77.5 eV per cell.

a b c (Å): 5.6014 5.6014 11.0372
angles (deg): 90.00 90.00 90.00
Last column: nearest neighbours and their distance in Å.
Space group I-42d (No. 122)
Asymmetric unit:
1 Al 0.0000 0.0000 0.0000 (multiplicity 4)  4 Se 2.44
2 Co 0.0000 0.0000 0.5000 (multiplicity 4)  4 Se 2.39
3 Se 0.2427 0.2500 0.6250 (multiplicity 8)  2 Co 2.39, 2 Al 2.44

Record 2
# Ce2PrSi

Ce2PrSi after structural relaxation (PBE-GGA, the Alexandria database).

The calculation puts the uncorrected formation energy at -25.7 kJ/mol of atoms. The calculation puts the total energy at -23.1 eV per cell.

a b c (Å): 4.5744 4.5744 4.8421
angles (deg): 90.00 90.00 90.00
Last column: nearest neighbours and their distance in Å.
Space group P4/mmm (No. 123)
Asymmetric unit:
1 Ce 0.0000 0.5000 0.0000 (multiplicity 2)  4 Ce 3.23, 4 Pr 3.33, 4 Si 3.33
2 Pr 0.0000 0.0000 0.5000 (multiplicity 1)  4 Si 3.23, 8 Ce 3.33
3 Si 0.5000 0.5000 0.5000 (multiplicity 1)  4 Pr 3.23, 8 Ce 3.33

Record 3
# ThZnSn

ThZnSn after structural relaxation (PBE-GGA, the Alexandria database).

The calculation puts the total energy at -14.1 eV per cell.

a b c (Å): 4.4900 4.4900 4.3060
angles (deg): 90.00 90.00 120.00
Last column: nearest neighbours and their distance in Å.
Space group P3m1 (No. 156)
Asymmetric unit:
1 Th 0.0000 0.0000 0.0000 (multiplicity 1)  3 Zn 3.10, 6 Sn 3.30-3.45
2 Zn 0.3333 0.6667 0.3941 (multiplicity 1)  3 Sn 2.65
3 Sn 0.6667 0.3333 0.5271 (multiplicity 1)  3 Zn 2.65

Record 4
# SnPdN2

SnPdN2 after structural relaxation (PBE-GGA, the Alexandria database).

The calculation puts the uncorrected formation energy at 65.8 kJ/mol of atoms. The calculation puts the total energy at -92.5 eV per cell.

a b c (Å): 4.9585 4.9585 9.7591
angles (deg): 90.00 90.00 90.00
Last column: nearest neighbours and their distance in Å.
Space group I-42d (No. 122)
Asymmetric unit:
1 Sn 0.0000 0.0000 0.0000 (multiplicity 4)  4 N 2.12
2 Pd 0.0000 0.0000 0.5000 (multiplicity 4)  4 N 2.15
3 N 0.2452 0.2500 0.1250 (multiplicity 8)  2 Sn 2.12, 2 Pd 2.15

Record 5
# Li6Hg2NCl

Li6Hg2NCl after structural relaxation (PBE-GGA, the Alexandria database).

The calculation puts the uncorrected formation energy at -51.1 kJ/mol of atoms. The calculation puts the total energy at -110.2 eV per cell.

a b c (Å): 8.8454 8.8454 8.8454
angles (deg): 90.00 90.00 90.00
Last column: nearest neighbours and their distance in Å.
Space group Fm-3m (No. 225)
Asymmetric unit:
1 Li 0.0000 0.0000 0.2210 (multiplicity 24)  1 N 1.96
2 Hg 0.2500 0.2500 0.2500 (multiplicity 8)  12 Li 3.14
3 N 0.0000 0.0000 0.0000 (multiplicity 4)  6 Li 1.96
4 Cl 0.0000 0.0000 0.5000 (multiplicity 4)  6 Li 2.47

Record 6
# PmThTl2

PmThTl2 after structural relaxation (PBE-GGA, the Alexandria database).

The calculation puts the total energy at -17.8 eV per cell.

a b c (Å): 5.0609 5.0609 4.5447
angles (deg): 90.00 90.00 90.00
Last column: nearest neighbours and their distance in Å.
Space group P4/mmm (No. 123)
Asymmetric unit:
1 Pm 0.0000 0.0000 0.0000 (multiplicity 1)  8 Tl 3.40, 4 Th 3.58
2 Th 0.5000 0.5000 0.0000 (multiplicity 1)  8 Tl 3.40, 4 Pm 3.58
3 Tl 0.0000 0.5000 0.5000 (multiplicity 2)  4 Th 3.40, 4 Pm 3.40, 4 Tl 3.58

Record 7
# CoSi2P

CoSi2P after structural relaxation (PBE-GGA, the Alexandria database).

The calculation puts the uncorrected formation energy at 13.3 kJ/mol of atoms. The calculation puts the total energy at -22.8 eV per cell.

a b c (Å): 3.7465 3.0941 4.9144
angles (deg): 90.00 111.56 90.00
Last column: nearest neighbours and their distance in Å.
Space group P2/m (No. 10)
Asymmetric unit:
1 Co 0.0000 0.0000 0.0000 (multiplicity 1)  4 Si 2.38, 2 P 2.46
2 Si 0.4997 0.5000 0.2438 (multiplicity 2)  2 Co 2.38, 2 Si 2.40-2.52, 2 P 2.40
3 P 0.0000 0.0000 0.5000 (multiplicity 1)  4 Si 2.40, 2 Co 2.46

Record 8
# Rb2CdAgCl5

Rb2CdAgCl5 after structural relaxation (PBE-GGA, the Alexandria database).

The calculation puts the uncorrected formation energy at -129.5 kJ/mol of atoms. The calculation puts the total energy at -108.1 eV per cell.

a b c (Å): 4.2121 19.2646 13.4974
angles (deg): 90.00 90.00 90.00
Last column: nearest neighbours and their distance in Å.
Space group Cmc2_1 (No. 36)
Asymmetric unit:
1 Rb 0.0000 0.1112 0.0000 (multiplicity 4)  5 Cl 3.27-3.37
2 Rb 0.0000 0.1315 0.6187 (multiplicity 4)  8 Cl 3.28-3.63
3 Cd 0.0000 0.2148 0.3313 (multiplicity 4)  6 Cl 2.57-2.78
4 Ag 0.0000 0.4469 0.7551 (multiplicity 4)  3 Cl 2.48-2.59
5 Cl 0.0000 0.0781 0.3604 (multiplicity 4)  2 Ag 2.59, 1 Cd 2.66
6 Cl 0.0000 0.2808 0.9631 (multiplicity 4)  2 Cd 2.76
7 Cl 0.0000 0.3016 0.6990 (multiplicity 4)  2 Cd 2.78, 1 Ag 2.90
8 Cl 0.0000 0.3476 0.3141 (multiplicity 4)  1 Cd 2.57
9 Cl 0.0000 0.4977 0.0896 (multiplicity 4)  1 Ag 2.48